A relaxed structure of Ga2CoPd2, computed with PBE-GGA.

Unit cell a=7.306 b=7.306 c=2.818 alpha=90.00 beta=90.00 gamma=90.00
Site moments in Bohr magnetons follow the coordinates.
Fractional coordinates of all 10 atoms:
Pd 0.862 0.638 0.000  -0.03
Ga 0.663 0.837 0.500  -0.01
Pd 0.138 0.362 0.000  -0.03
Pd 0.362 0.862 0.000  -0.04
Pd 0.638 0.138 0.000  -0.04
Ga 0.337 0.163 0.500  -0.01
Ga 0.163 0.663 0.500  -0.01
Co 0.000 0.000 0.000  1.68
Co 0.500 0.500 0.000  1.68
Ga 0.837 0.337 0.500  -0.01

Calculated values
* symmetry: P4/mbm (127)
* energy relative to the elements: -0.21 eV/atom
* excess energy over the best structure of this formula in the dataset: 49 meV/atom


A relaxed structure of PmGa4CoPd2, computed with PBE-GGA.

Unit cell a=4.244 b=4.244 c=9.088 alpha=76.50 beta=76.50 gamma=60.00
Site moments in Bohr magnetons follow the coordinates.
Fractional coordinates of all 8 atoms:
Ga 0.864 0.864 0.407  0.00
Ga 0.403 0.403 0.792  0.00
Pm 0.000 0.000 0.000  -0.01
Ga 0.597 0.597 0.208  0.00
Pd 0.236 0.236 0.293  0.02
Ga 0.136 0.136 0.593  0.00
Pd 0.764 0.764 0.707  0.02
Co 0.500 0.500 0.500  0.45

Calculated values
* symmetry: R-3m (166)
* energy relative to the elements: -0.56 eV/atom